This record from the Alexandria database describes crystalline Dy8In3PSe3 at its relaxed geometry. The functional is PBE-GGA.

It has space group C2/m (No. 12), with a = 13.672 Å, b = 7.901 Å, c = 8.991 Å, α = 90.00°, β = 120.44° and γ = 90.00°. The inequivalent atoms are Dy at (0.009, 0.241, 0.285), Dy at (0.232, 0.000, 0.715), Dy at (0.241, 0.500, 0.722), In at (0.000, 0.000, 0.000), In at (0.250, 0.250, 0.000), P at (0.000, 0.000, 0.500), Se at (0.000, 0.500, 0.500) and Se at (0.250, 0.250, 0.500).

As for the density of states at the Fermi level: 18.1 states/eV per cell. As for the calculated volume: 27.91 Å³/atom. As for the total magnetization: 0.00 μB/f.u. As for the energy relative to the elements, uncorrected: -1.025 eV per atom.